1.
## NaNpSi2O8 (GGA-PBE)

Data for crystalline NaNpSi2O8 at its relaxed geometry.

Properties
mass density: 5.2 g cm⁻³
total magnetic moment: 0.0 μB/cell
E_tot: -0.2839 Ha/atom

Unit cell a=5.726 b=5.726 c=5.726 alpha=106.36 beta=106.36 gamma=115.88
Fractional coordinates of all 12 atoms:
Na 0.000 0.000 0.000
Np 0.250 0.750 0.500
Si 0.750 0.250 0.500
Si 0.500 0.500 0.000
O 0.391 0.066 0.325
O 0.341 0.536 0.195
O 0.341 0.146 0.805
O 0.741 0.066 0.675
O 0.854 0.659 0.195
O 0.934 0.259 0.325
O 0.934 0.609 0.675
O 0.464 0.659 0.805


2.
## Na3Sm3NpO8 (GGA-PBE)

Data for crystalline Na3Sm3NpO8 at its relaxed geometry.

Properties
mass density: 6.0 g cm⁻³
total magnetic moment: 3.0 μB/cell
E_tot: -0.2729 Ha/atom
D(E_F): 0.709 states/eV per atom

Unit cell a=7.074 b=7.074 c=6.950 alpha=120.60 beta=90.00 gamma=120.00
Each line ends with the local moment (μB).
Fractional coordinates of all 15 atoms:
Na 0.000 0.000 0.000  0.00
Na 0.000 0.500 0.000  0.00
Na 0.500 0.500 0.000  0.00
Sm 0.500 0.000 0.500  0.01
Sm 0.500 0.500 0.500  0.01
Sm 0.000 0.500 0.500  0.01
Np 0.000 0.000 0.500  3.02
O 0.263 0.525 0.288  0.00
O 0.737 0.475 0.712  0.00
O 0.775 0.551 0.299  -0.03
O 0.225 0.449 0.701  -0.03
O 0.775 0.023 0.299  -0.03
O 0.225 0.977 0.701  -0.03
O 0.248 0.023 0.299  -0.03
O 0.752 0.977 0.701  -0.03


3.
## NaSmNp2O8 (GGA-PBE)

Data for crystalline NaSmNp2O8 at its relaxed geometry.

Properties
mass density: 8.6 g cm⁻³
total magnetic moment: 2.0 μB/cell
E_tot: -0.3192 Ha/atom
D(E_F): 0.822 states/eV per atom

Unit cell a=5.381 b=5.381 c=6.440 alpha=114.69 beta=114.69 gamma=90.00
Each line ends with the local moment (μB).
Fractional coordinates of all 12 atoms:
Na 0.750 0.250 0.500  0.00
Sm 0.000 0.000 0.000  0.00
Np 0.500 0.500 0.000  1.42
Np 0.250 0.750 0.500  1.31
O 0.877 0.846 0.248  -0.08
O 0.371 0.403 0.248  -0.08
O 0.597 0.629 0.751  -0.08
O 0.154 0.122 0.751  -0.08
O 0.878 0.403 0.249  -0.08
O 0.371 0.846 0.249  -0.08
O 0.154 0.629 0.752  -0.08
O 0.597 0.123 0.752  -0.08


4.
## NaSm2NpO6 (GGA-PBE)

Data for crystalline NaSm2NpO6 at its relaxed geometry.

Properties
mass density: 6.9 g cm⁻³
total magnetic moment: 2.0 μB/cell
E_tot: -0.3061 Ha/atom
D(E_F): 0.823 states/eV per atom

Unit cell a=5.944 b=5.944 c=6.185 alpha=61.28 beta=61.28 gamma=60.00
Each line ends with the local moment (μB).
Fractional coordinates of all 10 atoms:
Na 0.801 0.801 0.596  0.00
Sm 0.530 0.530 0.410  0.01
Sm 0.021 0.021 0.937  0.01
Np 0.318 0.318 0.046  2.19
O 0.594 0.224 0.237  -0.04
O 0.224 0.945 0.237  -0.04
O 0.945 0.594 0.237  -0.04
O 0.397 0.687 0.771  -0.04
O 0.687 0.145 0.771  -0.04
O 0.145 0.397 0.771  -0.04